Density functional theory data (PBE) for an optimized crystal structure of TaMo.

Output
ρ: 6.77 g cm⁻³
ΔH_f (0 K): 2.320 eV/atom
DOS at the Fermi energy: 1.7486 states/eV per atom

Structure (CIF):
```
data_TaMo
_space_group_name_H-M_alt 'I -4 3 m'
_space_group_IT_number 217
_space_group_name_Hall 'I -4 2 3'
_cell_length_a 8.159
_cell_length_b 8.159
_cell_length_c 8.159
_cell_angle_alpha 90.00
_cell_angle_beta 90.00
_cell_angle_gamma 90.00
loop_
_atom_site_label
_atom_site_type_symbol
_atom_site_fract_x
_atom_site_fract_y
_atom_site_fract_z
Ta1 Ta 0.128 0.128 0.872
Mo1 Mo 0.174 0.174 0.174
```